(1)
CoIr: optimized geometry, PBEsol.

Lattice parameters (Å, degrees): 2.6513 4.4307 4.8951 116.16 105.71 90.00
Closest atoms and distances in Å follow each position.
Positions (direct):
Ir1 0.8775 0.7037 0.7549  7 Co 2.56-2.60, 5 Ir 2.58-2.65
Ir2 0.1225 0.2963 0.2451  7 Co 2.56-2.60, 5 Ir 2.58-2.65
Co1 0.3722 0.2042 0.7444  5 Co 2.55-2.65, 7 Ir 2.56-2.60
Co2 0.6278 0.7958 0.2556  5 Co 2.55-2.65, 7 Ir 2.56-2.60

## Properties
Energy   -35.08 eV per cell
E_form   0.011 eV/atom
Symmetry   C2/m (12)
Magnetic moment   0.754 μB/atom

(2)
CoIr: optimized geometry, PBEsol.

Lattice parameters (Å, degrees): 4.1847 4.5297 5.1515 90.00 90.00 90.00
Closest atoms and distances in Å follow each position.
Positions (direct):
Ir1 0.7500 0.4094 0.3726  8 Co 2.56-2.64, 4 Ir 2.59-2.60
Ir2 0.2500 0.0906 0.8726  8 Co 2.56-2.64, 4 Ir 2.59-2.60
Ir3 0.7500 0.9094 0.1274  8 Co 2.56-2.64, 4 Ir 2.59-2.60
Ir4 0.2500 0.5906 0.6274  8 Co 2.56-2.64, 4 Ir 2.59-2.60
Co1 0.7500 0.4175 0.8749  8 Ir 2.56-2.64, 4 Co 2.57-2.60
Co2 0.2500 0.0825 0.3749  8 Ir 2.56-2.64, 4 Co 2.57-2.60
Co3 0.7500 0.9175 0.6251  8 Ir 2.56-2.64, 4 Co 2.57-2.60
Co4 0.2500 0.5825 0.1251  8 Ir 2.56-2.64, 4 Co 2.57-2.60

## Properties
Energy   -70.13 eV per cell
E_form   0.014 eV/atom
Symmetry   Pnma (62)
Magnetic moment   0.642 μB/atom

(3)
KCoIr4: optimized geometry, PBEsol.

Lattice parameters (Å, degrees): 5.2089 5.2089 5.2089 60.00 60.00 60.00
Closest atoms and distances in Å follow each position.
Positions (direct):
Co1 0.0000 0.0000 0.0000  12 Ir 3.05, 4 K 3.19
Ir1 0.3746 0.3746 0.3746  6 Ir 2.60-2.61
Ir2 0.3746 0.3746 0.8763  6 Ir 2.60-2.61
Ir3 0.8763 0.3746 0.3746  6 Ir 2.60-2.61
Ir4 0.3746 0.8763 0.3746  6 Ir 2.60-2.61
K1 0.7500 0.7500 0.7500  12 Ir 3.05, 4 Co 3.19

## Properties
Energy   -42.97 eV per cell
E_form   0.866 eV/atom
Symmetry   F-43m (216)
Magnetic moment   0.759 μB/atom

(4)
KCoIr2: optimized geometry, PBEsol.

Lattice parameters (Å, degrees): 2.6639 4.7482 4.9759 90.00 90.00 90.00
Closest atoms and distances in Å follow each position.
Positions (direct):
Co1 0.0000 0.5000 0.5000  2 Co 2.66, 4 K 2.72, 4 Ir 2.82
Ir1 0.0000 0.0000 0.0000  6 Ir 2.66-2.72, 4 K 2.82
Ir2 0.5000 0.5000 0.0000  6 Ir 2.66-2.72, 4 Co 2.82
K1 0.5000 0.0000 0.5000  2 K 2.66, 4 Co 2.72, 4 Ir 2.82

## Properties
Energy   -24.28 eV per cell
E_form   1.058 eV/atom
Symmetry   Pmmm (47)
Magnetic moment   0.610 μB/atom

(5)
KMg2CoIr: optimized geometry, PBEsol.

Lattice parameters (Å, degrees): 4.4594 4.8825 4.8825 90.00 90.00 90.00
Closest atoms and distances in Å follow each position.
Positions (direct):
K1 0.5000 0.5000 0.5000  8 Mg 3.31, 4 Ir 3.45
Ir1 0.5000 0.0000 0.0000  2 Co 2.23
Co1 0.0000 0.0000 0.0000  2 Ir 2.23, 4 Mg 2.44
Mg1 0.0000 0.0000 0.5000  2 Co 2.44
Mg2 0.0000 0.5000 0.0000  2 Co 2.44

## Properties
Energy   -19.96 eV per cell
E_form   0.434 eV/atom
Symmetry   P4/mmm (123)
Magnetic moment   0.000 μB/atom

(6)
KMn2CoIr: optimized geometry, PBEsol.

Lattice parameters (Å, degrees): 4.4546 4.4546 4.4702 90.00 90.00 90.00
Closest atoms and distances in Å follow each position.
Positions (direct):
K1 0.0000 0.0000 0.5000  2 Co 2.24
Ir1 0.5000 0.5000 0.5000  4 K 3.15, 8 Mn 3.16
Co1 0.0000 0.0000 0.0000  4 Mn 2.23, 2 K 2.24
Mn1 0.0000 0.5000 0.0000  2 Co 2.23
Mn2 0.5000 0.0000 0.0000  2 Co 2.23

## Properties
Energy   -29.49 eV per cell
E_form   1.745 eV/atom
Symmetry   P4/mmm (123)
Magnetic moment   1.735 μB/atom

(7)
La2CoIr: optimized geometry, PBEsol.

Lattice parameters (Å, degrees): 3.6721 4.1183 6.4221 108.70 106.61 90.00
Closest atoms and distances in Å follow each position.
Positions (direct):
Ir1 0.1920 0.6920 0.3839  2 Co 2.44
Co1 0.5531 0.5531 0.1063  2 Ir 2.44
La1 0.9855 0.9855 0.9711  4 Co 2.87, 2 Ir 3.16
La2 0.7694 0.2694 0.5387  4 Ir 2.90, 2 La 3.24, 2 Co 3.25

## Properties
Energy   -29.07 eV per cell
E_form   -0.204 eV/atom
Symmetry   Imm2 (44)
Magnetic moment   0.002 μB/atom

(8)
La2CoIr: optimized geometry, PBEsol.

Lattice parameters (Å, degrees): 4.0035 3.9914 5.8900 109.81 90.02 90.00
Closest atoms and distances in Å follow each position.
Positions (direct):
Ir1 0.1248 0.6953 0.3906  2 Co 2.56
Co1 0.6247 0.5520 0.1039  2 Ir 2.56
La1 0.1255 0.9845 0.9691  4 Co 2.92-2.93, 3 Ir 3.07-3.21
La2 0.6250 0.2682 0.5364  4 Ir 2.94, 3 Co 3.12-3.15

## Properties
Energy   -29.61 eV per cell
E_form   -0.340 eV/atom
Symmetry   Amm2 (38)
Magnetic moment   0.000 μB/atom

(9)
LaCo2Ir: optimized geometry, PBEsol.

Lattice parameters (Å, degrees): 2.8087 2.8087 9.2732 81.29 81.29 60.00
Closest atoms and distances in Å follow each position.
Positions (direct):
Ir1 0.0000 0.0000 0.0000  6 Co 2.54, 6 Ir 2.81
Co1 0.2617 0.2617 0.2148  3 Ir 2.54, 6 Co 2.81
Co2 0.7383 0.7383 0.7852  3 Ir 2.54, 6 Co 2.81
La1 0.5000 0.5000 0.5000  6 La 2.81, 6 Co 3.07

## Properties
Energy   -28.11 eV per cell
E_form   0.633 eV/atom
Symmetry   R-3m (166)
Magnetic moment   0.891 μB/atom

(10)
La2CoPIr: optimized geometry, PBEsol.

Lattice parameters (Å, degrees): 4.0406 5.1946 5.1946 90.00 90.00 90.00
Closest atoms and distances in Å follow each position.
Positions (direct):
P1 0.5000 0.0000 0.0000  2 Co 2.02
Ir1 0.5000 0.5000 0.5000  8 La 3.29, 4 P 3.67
Co1 0.0000 0.0000 0.0000  2 P 2.02
La1 0.0000 0.0000 0.5000  2 Co 2.60
La2 0.0000 0.5000 0.0000  2 Co 2.60

## Properties
Energy   -35.85 eV per cell
E_form   -0.362 eV/atom
Symmetry   P4/mmm (123)
Magnetic moment   0.000 μB/atom

(11)
LaCoIr2Pt: optimized geometry, PBEsol.

Lattice parameters (Å, degrees): 4.3405 4.8034 4.8034 90.00 90.00 90.00
Closest atoms and distances in Å follow each position.
Positions (direct):
Ir1 0.0000 0.0000 0.5000  2 La 2.40
Ir2 0.0000 0.5000 0.0000  2 La 2.40
Co1 0.5000 0.0000 0.0000  2 La 2.17
Pt1 0.5000 0.5000 0.5000  8 Ir 3.24, 4 Co 3.40
La1 0.0000 0.0000 0.0000  2 Co 2.17, 4 Ir 2.40

## Properties
Energy   -29.17 eV per cell
E_form   2.105 eV/atom
Symmetry   P4/mmm (123)
Magnetic moment   0.196 μB/atom

(12)
Mg4CoIr: optimized geometry, PBEsol.

Lattice parameters (Å, degrees): 5.2076 5.2076 5.2076 60.00 60.00 60.00
Closest atoms and distances in Å follow each position.
Positions (direct):
Co1 0.7500 0.7500 0.7500  12 Mg 3.05, 4 Ir 3.19
Ir1 0.0000 0.0000 0.0000  12 Mg 3.05, 4 Co 3.19
Mg1 0.3749 0.3749 0.3749  6 Mg 2.60-2.61
Mg2 0.3749 0.3749 0.8754  6 Mg 2.60-2.61
Mg3 0.8754 0.3749 0.3749  6 Mg 2.60-2.61
Mg4 0.3749 0.8754 0.3749  6 Mg 2.60-2.61

## Properties
Energy   -20.98 eV per cell
E_form   0.576 eV/atom
Symmetry   F-43m (216)
Magnetic moment   0.284 μB/atom

(13)
MnCo2Ir: optimized geometry, PBEsol.

Lattice parameters (Å, degrees): 2.5514 4.3539 4.3397 100.07 107.10 90.00
Closest atoms and distances in Å follow each position.
Positions (direct):
Co1 0.2486 0.2371 0.4973  6 Co 2.43-2.62, 3 Mn 2.48-2.49, 3 Ir 2.53-2.54
Co2 0.7514 0.7629 0.5027  6 Co 2.43-2.62, 3 Mn 2.48-2.49, 3 Ir 2.53-2.54
Ir1 0.0000 0.5000 0.0000  4 Mn 2.52, 6 Co 2.53-2.54, 2 Ir 2.55
Mn1 0.5000 0.0000 0.0000  6 Co 2.48-2.49, 4 Ir 2.52, 2 Mn 2.55

## Properties
Energy   -34.88 eV per cell
E_form   0.044 eV/atom
Excess energy over the best structure of this formula in the dataset   88 meV/atom
Symmetry   C2/m (12)
Magnetic moment   0.273 μB/atom

(14)
MnCo2Ir: optimized geometry, PBEsol.

Lattice parameters (Å, degrees): 3.5660 3.5660 3.5704 90.00 90.00 90.00
Closest atoms and distances in Å follow each position.
Positions (direct):
Co1 0.0000 0.5000 0.0000  4 Co 2.52, 4 Mn 2.52, 4 Ir 2.52
Co2 0.5000 0.0000 0.0000  4 Co 2.52, 4 Mn 2.52, 4 Ir 2.52
Ir1 0.5000 0.5000 0.5000  4 Mn 2.52, 8 Co 2.52
Mn1 0.0000 0.0000 0.5000  4 Ir 2.52, 8 Co 2.52

## Properties
Energy   -35.23 eV per cell
E_form   -0.044 eV/atom
Excess energy over the best structure of this formula in the dataset   0 meV/atom
Symmetry   P4/mmm (123)
Magnetic moment   0.289 μB/atom

(15)
Co2MoIr: optimized geometry, PBEsol.

Lattice parameters (Å, degrees): 3.6073 3.6837 3.6837 90.00 90.00 90.00
Closest atoms and distances in Å follow each position.
Positions (direct):
Mo1 0.5000 0.0000 0.0000  8 Co 2.58, 4 Ir 2.60
Ir1 0.5000 0.5000 0.5000  8 Co 2.58, 4 Mo 2.60
Co1 0.0000 0.0000 0.5000  4 Mo 2.58, 4 Ir 2.58, 4 Co 2.60
Co2 0.0000 0.5000 0.0000  4 Mo 2.58, 4 Ir 2.58, 4 Co 2.60

## Properties
Energy   -37.55 eV per cell
E_form   -0.122 eV/atom
Symmetry   P4/mmm (123)
Magnetic moment   0.143 μB/atom

(16)
Co2MoIr: optimized geometry, PBEsol.

Lattice parameters (Å, degrees): 2.6619 2.6619 7.0627 90.00 90.00 90.00
Closest atoms and distances in Å follow each position.
Positions (direct):
Mo1 0.5000 0.5000 0.7644  4 Co 2.60, 4 Mo 2.66, 4 Ir 2.73
Ir1 0.0000 0.0000 0.4844  4 Co 2.59, 4 Ir 2.66, 4 Mo 2.73
Co1 0.0000 0.0000 0.0186  8 Co 2.41-2.66, 4 Mo 2.60
Co2 0.5000 0.5000 0.2327  8 Co 2.41-2.66, 4 Ir 2.59

## Properties
Energy   -37.03 eV per cell
E_form   0.008 eV/atom
Symmetry   P4mm (99)
Magnetic moment   0.713 μB/atom

(17)
Co2MoIr: optimized geometry, PBEsol.

Lattice parameters (Å, degrees): 3.6578 3.6578 4.5137 113.90 113.90 90.00
Closest atoms and distances in Å follow each position.
Positions (direct):
Mo1 0.2500 0.7500 0.5000  8 Co 2.59-2.60, 4 Ir 2.60
Ir1 0.0000 0.0000 0.0000  8 Co 2.59-2.60, 4 Mo 2.60
Co1 0.5000 0.5000 0.0000  4 Ir 2.59, 4 Mo 2.60, 4 Co 2.60
Co2 0.7500 0.2500 0.5000  4 Mo 2.59, 4 Co 2.60, 4 Ir 2.60

## Properties
Energy   -37.54 eV per cell
E_form   -0.118 eV/atom
Symmetry   I-4m2 (119)
Magnetic moment   0.402 μB/atom

(18)
Co2MoIr: optimized geometry, PBEsol.

Lattice parameters (Å, degrees): 2.6296 2.6296 8.5501 81.15 81.15 60.00
Closest atoms and distances in Å follow each position.
Positions (direct):
Mo1 0.0000 0.0000 0.0000  6 Co 2.61, 6 Mo 2.63
Ir1 0.5000 0.5000 0.5000  6 Co 2.58, 6 Ir 2.63
Co1 0.2493 0.2493 0.2521  3 Ir 2.58, 3 Mo 2.61, 6 Co 2.63
Co2 0.7507 0.7507 0.7479  3 Ir 2.58, 3 Mo 2.61, 6 Co 2.63

## Properties
Energy   -36.44 eV per cell
E_form   0.156 eV/atom
Symmetry   R-3m (166)
Magnetic moment   0.440 μB/atom

(19)
CoIrNO2: optimized geometry, PBEsol.

Lattice parameters (Å, degrees): 3.6481 3.6481 3.5475 90.00 90.00 90.00
Closest atoms and distances in Å follow each position.
Positions (direct):
Ir1 0.5000 0.5000 0.5000  8 O 2.54, 4 N 2.58
Co1 0.0000 0.0000 0.0000  2 N 1.77, 4 O 1.82
O1 0.0000 0.5000 0.0000  2 Co 1.82
O2 0.5000 0.0000 0.0000  2 Co 1.82
N1 0.0000 0.0000 0.5000  2 Co 1.77

## Properties
Energy   -32.89 eV per cell
ΔE_f (raw)   740 meV per atom
Symmetry   P4/mmm (123)
Magnetic moment   0.000 μB/atom

(20)
CoIrN2O: optimized geometry, PBEsol.

Lattice parameters (Å, degrees): 3.5543 3.5543 3.7123 90.00 90.00 90.00
Closest atoms and distances in Å follow each position.
Positions (direct):
Ir1 0.5000 0.5000 0.5000  4 O 2.51, 8 N 2.57
Co1 0.0000 0.0000 0.0000  4 N 1.78, 2 O 1.86
O1 0.0000 0.0000 0.5000  2 Co 1.86
N1 0.0000 0.5000 0.0000  2 Co 1.78
N2 0.5000 0.0000 0.0000  2 Co 1.78

## Properties
Energy   -34.07 eV per cell
ΔE_f (raw)   1160 meV per atom
Symmetry   P4/mmm (123)
Magnetic moment   0.000 μB/atom